Entry from Alexandria: YBi2C after structural relaxation (GGA-PBE).

Cell lengths 7.3980, 7.3980, 7.4225 Å; angles 90.00, 90.00, 90.00 degrees
Closest atoms and distances in Å follow each position.
Space group I-42d (No. 122)
Symmetry-distinct sites (fractional):
Y 0.0000 0.0000 0.0000 x4  8 Bi 3.25-3.55
Bi 0.1614 0.2500 0.6250 x8  2 C 2.39
C 0.0000 0.0000 0.5000 x4  4 Bi 2.39

Output
energy of formation from the pure elements	250	kJ/mol of formula units